# 1
# GeMo, optimized geometry, DFT GGA-PBE
data_GeMo
_symmetry_space_group_name_H-M 'P 63/m m c'
_symmetry_Int_Tables_number 194
_symmetry_space_group_name_Hall '-P 6c 2c'
_cell_length_a 4.3479
_cell_length_b 4.3479
_cell_length_c 5.0076
_cell_angle_alpha 90.00
_cell_angle_beta 90.00
_cell_angle_gamma 120.00
loop_
_atom_site_label
_atom_site_fract_x
_atom_site_fract_y
_atom_site_fract_z
Ge1 0.3333 0.6667 0.2500
Mo1 0.3333 0.6667 0.7500
# Volume, A^3/atom: 20.495

=====

# 2
# AcBiSb, optimized geometry, DFT GGA-PBE
data_AcBiSb
_symmetry_space_group_name_H-M 'F -4 3 m'
_symmetry_Int_Tables_number 216
_symmetry_space_group_name_Hall 'F -4 2 3'
_cell_length_a 7.872
_cell_length_b 7.872
_cell_length_c 7.872
_cell_angle_alpha 90.00
_cell_angle_beta 90.00
_cell_angle_gamma 90.00
loop_
_atom_site_label
_atom_site_fract_x
_atom_site_fract_y
_atom_site_fract_z
Ac1 0.000 0.000 0.000
Bi1 0.250 0.250 0.750
Sb1 0.250 0.250 0.250
# Volume, A^3/atom: 40.648
# Uncorrected formation energy, meV per atom: -312.8
# Energy above the lowest structure with this stoichiometry, meV per atom: 445

=====

# 3
# Mg2SbPb, optimized geometry, DFT GGA-PBE
data_Mg2SbPb
_symmetry_space_group_name_H-M 'P m m m'
_symmetry_Int_Tables_number 47
_cell_length_a 4.246
_cell_length_b 4.665
_cell_length_c 5.147
_cell_angle_alpha 90.00
_cell_angle_beta 90.00
_cell_angle_gamma 90.00
loop_
_symmetry_equiv_pos_as_xyz
'x,y,z'
'-x,-y,-z'
'-x,-y,z'
'x,y,-z'
'x,-y,-z'
'-x,y,z'
'-x,y,-z'
'x,-y,z'
loop_
_atom_site_label
_atom_site_fract_x
_atom_site_fract_y
_atom_site_fract_z
Mg1 0.000 0.000 0.000
Mg2 0.000 0.500 0.500
Sb1 0.500 0.000 0.500
Pb1 0.500 0.500 0.000
# Volume, A^3/atom: 25.486
# Uncorrected formation energy, meV per atom: -101.2
# Energy above the lowest structure with this stoichiometry, meV per atom: 29

=====

# 4
# BeTe4Au, optimized geometry, DFT GGA-PBE
data_BeTe4Au
_symmetry_space_group_name_H-M 'F -4 3 m'
_symmetry_Int_Tables_number 216
_symmetry_space_group_name_Hall 'F -4 2 3'
_cell_length_a 8.866
_cell_length_b 8.866
_cell_length_c 8.866
_cell_angle_alpha 90.00
_cell_angle_beta 90.00
_cell_angle_gamma 90.00
loop_
_atom_site_label
_atom_site_fract_x
_atom_site_fract_y
_atom_site_fract_z
Be1 0.000 0.000 0.000
Te1 0.125 0.125 0.625
Au1 0.250 0.250 0.250
# Volume, A^3/atom: 29.034
# Uncorrected formation energy, meV per atom: 943.6

=====

# 5
# Tb2Al3Tc, optimized geometry, DFT GGA-PBE
data_Tb2Al3Tc
_symmetry_space_group_name_H-M 'R -3 m'
_symmetry_Int_Tables_number 166
_symmetry_space_group_name_Hall '-R 3 2"'
_cell_length_a 5.5470
_cell_length_b 5.5470
_cell_length_c 13.2819
_cell_angle_alpha 90.00
_cell_angle_beta 90.00
_cell_angle_gamma 120.00
loop_
_atom_site_label
_atom_site_fract_x
_atom_site_fract_y
_atom_site_fract_z
Tb1 0.0000 0.0000 0.1278
Al1 0.0000 0.5000 0.0000
Tc1 0.0000 0.0000 0.5000
# Volume, A^3/atom: 19.664
# Energy above the lowest structure with this stoichiometry, meV per atom: 35

=====

# 6
# NdMgZrAl, optimized geometry, DFT GGA-PBE
data_NdMgZrAl
_symmetry_space_group_name_H-M 'F -4 3 m'
_symmetry_Int_Tables_number 216
_symmetry_space_group_name_Hall 'F -4 2 3'
_cell_length_a 7.217
_cell_length_b 7.217
_cell_length_c 7.217
_cell_angle_alpha 90.00
_cell_angle_beta 90.00
_cell_angle_gamma 90.00
loop_
_atom_site_label
_atom_site_fract_x
_atom_site_fract_y
_atom_site_fract_z
Nd1 0.000 0.000 0.000
Mg1 0.250 0.250 0.250
Zr1 0.000 0.000 0.500
Al1 0.250 0.250 0.750
# Volume, A^3/atom: 23.489

=====

# 7
# Pm6Y3Tm2Th, optimized geometry, DFT GGA-PBE
data_Pm6Y3Tm2Th
_symmetry_space_group_name_H-M 'C 1 2/m 1'
_symmetry_Int_Tables_number 12
_cell_length_a 6.236
_cell_length_b 10.795
_cell_length_c 11.925
_cell_angle_alpha 90.00
_cell_angle_beta 100.07
_cell_angle_gamma 90.00
loop_
_symmetry_equiv_pos_as_xyz
'x,y,z'
'-x,-y,-z'
'-x,y,-z'
'x,-y,z'
'x+1/2,y+1/2,z'
'-x+1/2,-y+1/2,-z'
'-x+1/2,y+1/2,-z'
'x+1/2,-y+1/2,z'
loop_
_atom_site_label
_atom_site_fract_x
_atom_site_fract_y
_atom_site_fract_z
Pm1 0.247 0.000 0.253
Pm2 0.248 0.165 0.748
Y1 0.000 0.167 0.000
Y2 0.000 0.500 0.000
Tm1 0.000 0.333 0.500
Th1 0.000 0.000 0.500
# Volume, A^3/atom: 32.932

=====

| no. | spin magnetization (Bohr magnetons per cell) | total energy (eV/atom) |
| --- | --- | --- |
| 1 | 0.00 | -7.200 |
| 2 | 0.00 | -4.350 |
| 3 | 0.00 | -2.856 |
| 4 | 0.00 | -2.318 |
| 5 | 0.00 | -5.613 |
| 6 | 0.00 | -4.808 |
| 7 | 0.00 | -5.325 |